Entry 1
The following is a DFT calculation (PBE) of a geometry-optimized LaTlCd2Rh structure.

Unit cell a=5.181 b=6.157 c=5.181 alpha=90.00 beta=90.00 gamma=90.00
Atoms (fractional coordinates):
1 La 0.000 0.500 0.000
2 Cd 0.500 0.000 0.000
3 Cd 0.000 0.000 0.500
4 Tl 0.000 0.000 0.000
5 Rh 0.500 0.500 0.500

---

Entry 2
The following is a DFT calculation (PBE) of a geometry-optimized LaTlCd2Rh structure.

Unit cell a=5.318 b=5.318 c=5.184 alpha=90.00 beta=90.00 gamma=90.00
Atoms (fractional coordinates):
1 Rh 0.000 0.000 0.000
2 Tl 0.500 0.500 0.500
3 La 0.000 0.000 0.500
4 Cd 0.000 0.500 0.000
5 Cd 0.500 0.000 0.000

---

Stability, lowest: entry 1

---

Entry 1
The following is a DFT calculation (PBE) of a geometry-optimized La2ZnCdRh structure.

Unit cell a=4.538 b=7.415 c=8.036 alpha=107.55 beta=90.00 gamma=90.00
Atoms (fractional coordinates):
1 Zn 0.250 0.552 0.678
2 Zn 0.750 0.448 0.322
3 La 0.750 0.863 0.659
4 La 0.250 0.272 0.946
5 La 0.750 0.728 0.054
6 La 0.250 0.137 0.341
7 Rh 0.750 0.125 0.089
8 Rh 0.250 0.875 0.911
9 Cd 0.250 0.664 0.350
10 Cd 0.750 0.336 0.650

---

Entry 2
The following is a DFT calculation (PBE) of a geometry-optimized La2ZnCdRh structure.

Unit cell a=5.458 b=5.458 c=4.945 alpha=90.00 beta=90.00 gamma=90.00
Atoms (fractional coordinates):
1 Rh 0.000 0.000 0.000
2 Cd 0.500 0.500 0.500
3 La 0.500 0.000 0.000
4 La 0.000 0.500 0.000
5 Zn 0.000 0.000 0.500

---

Stability, lowest: entry 2

---

Entry 1
The following is a DFT calculation (PBE) of a geometry-optimized La6Cd2Ru structure.

Unit cell a=3.912 b=9.161 c=9.161 alpha=121.22 beta=90.00 gamma=90.00
Atoms (fractional coordinates):
1 La 0.000 0.772 0.772
2 La 0.000 0.232 0.990
3 La 0.500 0.404 0.404
4 La 0.500 0.988 0.594
5 La 0.000 0.990 0.232
6 La 0.500 0.594 0.988
7 Cd 0.000 0.656 0.324
8 Cd 0.000 0.324 0.656
9 Ru 0.500 0.040 0.040

---

Entry 2
The following is a DFT calculation (PBE) of a geometry-optimized La6Cd2Ru structure.

Unit cell a=7.647 b=7.462 c=10.492 alpha=89.95 beta=90.64 gamma=90.07
Atoms (fractional coordinates):
1 La 0.423 0.498 0.744
2 La 0.241 0.267 0.459
3 La 0.923 0.000 0.244
4 La 0.577 0.502 0.256
5 La 0.260 0.768 0.040
6 La 0.263 0.755 0.461
7 La 0.740 0.232 0.960
8 La 0.236 0.256 0.040
9 La 0.759 0.733 0.541
10 La 0.737 0.245 0.539
11 La 0.764 0.744 0.960
12 La 0.077 0.000 0.756
13 Ru 0.000 0.000 0.500
14 Ru 0.500 0.500 0.000
15 Cd 0.502 0.986 0.741
16 Cd 0.998 0.486 0.758
17 Cd 0.498 0.014 0.259
18 Cd 0.002 0.514 0.242

---

Stability, lowest: entry 2